# 1
# Li5Mn5Sn2O12, PBEsol geometry, DFT SCAN
# V, Å³ per cell: 481
# Spin magnetization, μB/atom: 1.00
# Calculated total energy, eV per atom: -12.435
data_Li5Mn5Sn2O12
_chemical_formula_sum 'Li10 Mn10 Sn4 O24'
_space_group_name_H-M_alt 'C 1 2 1'
_space_group_IT_number 5
_space_group_name_Hall 'C 2y'
_cell_length_a 5.3223
_cell_length_b 9.1320
_cell_length_c 10.0425
_cell_angle_alpha 90.00
_cell_angle_beta 99.60
_cell_angle_gamma 90.00
loop_
_atom_site_label
_atom_site_fract_x
_atom_site_fract_y
_atom_site_fract_z
Li1 0.0000 0.0000 0.0000
Li2 0.2430 0.8280 0.2425
Li3 0.2493 0.9898 0.7580
Mn1 0.0000 0.3340 0.0000
Mn2 0.0000 0.4886 0.5000
Mn3 0.0000 0.8248 0.5000
Mn4 0.2370 0.1561 0.2416
Sn1 0.0000 0.1570 0.5000
Sn2 0.0000 0.6651 0.0000
O1 0.1193 0.9978 0.3744
O2 0.1201 0.5001 0.8793
O3 0.1208 0.3170 0.3767
O4 0.1254 0.8171 0.8720
O5 0.1343 0.1692 0.8824
O6 0.1357 0.6561 0.3837


# 2
# SiS2, PBEsol geometry, DFT SCAN
# V, Å³ per cell: 259
# Spin magnetization, μB/atom: 0.00
# Calculated total energy, eV per atom: -10.498
data_SiS2
_chemical_formula_sum 'Si4 S8'
_space_group_name_H-M_alt 'I -4 2 d'
_space_group_IT_number 122
_space_group_name_Hall 'I -4 2bw'
_cell_length_a 5.4787
_cell_length_b 5.4787
_cell_length_c 8.6152
_cell_angle_alpha 90.00
_cell_angle_beta 90.00
_cell_angle_gamma 90.00
loop_
_atom_site_label
_atom_site_fract_x
_atom_site_fract_y
_atom_site_fract_z
Si1 0.0000 0.0000 0.0000
S1 0.2267 0.7500 0.1250


# 3
# Ge3BiPd, PBEsol geometry, DFT SCAN
# V, Å³ per cell: 114
# Energy of formation, eV/atom: 0.27
# Spin magnetization, μB/atom: 0.00
data_Ge3BiPd
_chemical_formula_sum 'Ge3 Bi1 Pd1'
_space_group_name_H-M_alt 'P m -3 m'
_space_group_IT_number 221
_space_group_name_Hall '-P 4 2 3'
_cell_length_a 4.8461
_cell_length_b 4.8461
_cell_length_c 4.8461
_cell_angle_alpha 90.00
_cell_angle_beta 90.00
_cell_angle_gamma 90.00
loop_
_atom_site_label
_atom_site_fract_x
_atom_site_fract_y
_atom_site_fract_z
Ge1 0.0000 0.0000 0.5000
Bi1 0.5000 0.5000 0.5000
Pd1 0.0000 0.0000 0.0000


# 4
# LiC2NO6, PBEsol geometry, DFT SCAN
# V, Å³ per cell: 251
# Spin magnetization, μB/atom: 0.00
# Calculated total energy, eV per atom: -7.525
data_LiC2NO6
_chemical_formula_sum 'Li3 C6 N3 O18'
_space_group_name_H-M_alt 'R -3'
_space_group_IT_number 148
_space_group_name_Hall '-R 3'
_cell_length_a 4.4541
_cell_length_b 4.4541
_cell_length_c 14.6345
_cell_angle_alpha 90.00
_cell_angle_beta 90.00
_cell_angle_gamma 120.00
loop_
_atom_site_label
_atom_site_fract_x
_atom_site_fract_y
_atom_site_fract_z
Li1 0.0000 0.0000 0.0000
C1 0.0000 0.0000 0.2405
N1 0.0000 0.0000 0.5000
O1 0.0103 0.2947 0.2437


# 5
# Ca3SiBr2, PBEsol geometry, DFT SCAN
# V, Å³ per cell: 334
# Spin magnetization, μB/atom: 0.00
# Calculated total energy, eV per atom: -14.351
data_Ca3SiBr2
_chemical_formula_sum 'Ca6 Si2 Br4'
_space_group_name_H-M_alt 'I m m m'
_space_group_IT_number 71
_space_group_name_Hall '-I 2 2'
_cell_length_a 4.3133
_cell_length_b 5.8459
_cell_length_c 13.2426
_cell_angle_alpha 90.00
_cell_angle_beta 90.00
_cell_angle_gamma 90.00
loop_
_atom_site_label
_atom_site_fract_x
_atom_site_fract_y
_atom_site_fract_z
Ca1 0.0000 0.0000 0.0000
Ca2 0.0000 0.0000 0.3586
Si1 0.0000 0.5000 0.0000
Br1 0.0000 0.5000 0.3194


# 6
# LiCaCu2Re, PBEsol geometry, DFT SCAN
# V, Å³ per cell: 113
# Energy of formation, eV/atom: 1.06
# Spin magnetization, μB/atom: 0.00
data_LiCaCu2Re
_chemical_formula_sum 'Li1 Ca1 Cu2 Re1'
_space_group_name_H-M_alt 'P 4/m m m'
_space_group_IT_number 123
_space_group_name_Hall '-P 4 2'
_cell_length_a 4.7267
_cell_length_b 4.7267
_cell_length_c 5.0517
_cell_angle_alpha 90.00
_cell_angle_beta 90.00
_cell_angle_gamma 90.00
loop_
_atom_site_label
_atom_site_fract_x
_atom_site_fract_y
_atom_site_fract_z
Li1 0.0000 0.0000 0.0000
Ca1 0.5000 0.5000 0.0000
Cu1 0.0000 0.5000 0.5000
Re1 0.5000 0.5000 0.5000


# 7
# AlP3H2O10, PBEsol geometry, DFT SCAN
# V, Å³ per cell: 709
# Spin magnetization, μB/atom: 0.00
# Calculated total energy, eV per atom: -9.112
data_AlP3H2O10
_chemical_formula_sum 'Al4 P12 H8 O40'
_space_group_name_H-M_alt 'P 1 21/c 1'
_space_group_IT_number 14
_space_group_name_Hall '-P 2ybc'
_cell_length_a 7.2941
_cell_length_b 8.5608
_cell_length_c 12.3290
_cell_angle_alpha 90.00
_cell_angle_beta 112.95
_cell_angle_gamma 90.00
loop_
_atom_site_label
_atom_site_fract_x
_atom_site_fract_y
_atom_site_fract_z
Al1 0.2473 0.0612 0.2055
P1 0.1416 0.1182 0.7927
P2 0.2033 0.6172 0.4755
P3 0.3575 0.1153 0.6366
H1 0.2307 0.1393 0.4392
H2 0.2416 0.6792 0.8804
O1 0.0188 0.1393 0.0843
O2 0.0790 0.5835 0.7495
O3 0.1997 0.2109 0.3128
O4 0.2137 0.0852 0.5077
O5 0.2242 0.0426 0.7042
O6 0.2597 0.0338 0.9141
O7 0.2889 0.5846 0.6051
O8 0.3180 0.7426 0.9523
O9 0.3963 0.2150 0.1707
O10 0.4590 0.5154 0.8312


# 8
# Ni2PbW, PBEsol geometry, DFT SCAN
# V, Å³ per cell: 121
# Energy of formation, eV/atom: 0.53
# Spin magnetization, μB/atom: 0.00
data_Ni2PbW
_chemical_formula_sum 'Ni4 Pb2 W2'
_space_group_name_H-M_alt 'C 1 m 1'
_space_group_IT_number 8
_space_group_name_Hall 'C -2y'
_cell_length_a 8.3877
_cell_length_b 2.9806
_cell_length_c 4.9512
_cell_angle_alpha 90.00
_cell_angle_beta 101.42
_cell_angle_gamma 90.00
loop_
_atom_site_label
_atom_site_fract_x
_atom_site_fract_y
_atom_site_fract_z
Ni1 0.0000 0.0000 0.0000
Ni2 0.2401 0.5000 0.2285
Pb1 0.2469 0.0000 0.7509
W1 0.4790 0.0000 0.3985


# 9
# CrRuAu2, PBEsol geometry, DFT SCAN
# V, Å³ per cell: 121
# Energy of formation, eV/atom: 0.18
# E above lowest polymorph, meV/atom: 104.4
# Spin magnetization, μB/atom: 0.78
data_CrRuAu2
_chemical_formula_sum 'Cr2 Ru2 Au4'
_space_group_name_H-M_alt 'C m m m'
_space_group_IT_number 65
_space_group_name_Hall '-C 2 2'
_cell_length_a 5.4065
_cell_length_b 7.6567
_cell_length_c 2.9225
_cell_angle_alpha 90.00
_cell_angle_beta 90.00
_cell_angle_gamma 90.00
loop_
_atom_site_label
_atom_site_fract_x
_atom_site_fract_y
_atom_site_fract_z
Cr1 0.0000 0.0000 0.0000
Ru1 0.0000 0.5000 0.0000
Au1 0.2500 0.2500 0.5000


# 10
# SrTcPb, PBEsol geometry, DFT SCAN
# V, Å³ per cell: 310
# Energy of formation, eV/atom: 0.59
# E above lowest polymorph, meV/atom: 233.3
# Spin magnetization, μB/atom: 0.40
data_SrTcPb
_chemical_formula_sum 'Sr4 Tc4 Pb4'
_space_group_name_H-M_alt 'F -4 3 m'
_space_group_IT_number 216
_space_group_name_Hall 'F -4 2 3'
_cell_length_a 6.7690
_cell_length_b 6.7690
_cell_length_c 6.7690
_cell_angle_alpha 90.00
_cell_angle_beta 90.00
_cell_angle_gamma 90.00
loop_
_atom_site_label
_atom_site_fract_x
_atom_site_fract_y
_atom_site_fract_z
Sr1 0.0000 0.0000 0.0000
Tc1 0.2500 0.2500 0.7500
Pb1 0.0000 0.0000 0.5000


# 11
# RhAuSeF2, PBEsol geometry, DFT SCAN
# V, Å³ per cell: 81
# Spin magnetization, μB/atom: 0.09
# Calculated total energy, eV per atom: -26.642
data_RhAuSeF2
_chemical_formula_sum 'Rh1 Au1 Se1 F2'
_space_group_name_H-M_alt 'P 4/m m m'
_space_group_IT_number 123
_space_group_name_Hall '-P 4 2'
_cell_length_a 3.8411
_cell_length_b 3.8411
_cell_length_c 5.5046
_cell_angle_alpha 90.00
_cell_angle_beta 90.00
_cell_angle_gamma 90.00
loop_
_atom_site_label
_atom_site_fract_x
_atom_site_fract_y
_atom_site_fract_z
Rh1 0.0000 0.0000 0.0000
Au1 0.0000 0.0000 0.5000
Se1 0.5000 0.5000 0.5000
F1 0.0000 0.5000 0.0000


# 12
# Zr3ScI, PBEsol geometry, DFT SCAN
# V, Å³ per cell: 139
# E above lowest polymorph, meV/atom: 0.0
# Spin magnetization, μB/atom: 0.00
data_Zr3ScI
_chemical_formula_sum 'Zr3 Sc1 I1'
_space_group_name_H-M_alt 'P m -3 m'
_space_group_IT_number 221
_space_group_name_Hall '-P 4 2 3'
_cell_length_a 5.1861
_cell_length_b 5.1861
_cell_length_c 5.1861
_cell_angle_alpha 90.00
_cell_angle_beta 90.00
_cell_angle_gamma 90.00
loop_
_atom_site_label
_atom_site_fract_x
_atom_site_fract_y
_atom_site_fract_z
Zr1 0.0000 0.0000 0.5000
Sc1 0.5000 0.5000 0.5000
I1 0.0000 0.0000 0.0000


# 13
# LiTcAg2, PBEsol geometry, DFT SCAN
# V, Å³ per cell: 122
# Energy of formation, eV/atom: 0.25
# E above lowest polymorph, meV/atom: 0.0
# Spin magnetization, μB/atom: 0.22
data_LiTcAg2
_chemical_formula_sum 'Li2 Tc2 Ag4'
_space_group_name_H-M_alt 'C m m m'
_space_group_IT_number 65
_space_group_name_Hall '-C 2 2'
_cell_length_a 5.9015
_cell_length_b 7.8740
_cell_length_c 2.6217
_cell_angle_alpha 90.00
_cell_angle_beta 90.00
_cell_angle_gamma 90.00
loop_
_atom_site_label
_atom_site_fract_x
_atom_site_fract_y
_atom_site_fract_z
Li1 0.0000 0.0000 0.0000
Tc1 0.0000 0.5000 0.0000
Ag1 0.2500 0.2500 0.5000


# 14
# LaSc2Ta, PBEsol geometry, DFT SCAN
# V, Å³ per cell: 366
# Energy of formation, eV/atom: 0.42
# Spin magnetization, μB/atom: 0.00
data_LaSc2Ta
_chemical_formula_sum 'La4 Sc8 Ta4'
_space_group_name_H-M_alt 'F -4 3 m'
_space_group_IT_number 216
_space_group_name_Hall 'F -4 2 3'
_cell_length_a 7.1512
_cell_length_b 7.1512
_cell_length_c 7.1512
_cell_angle_alpha 90.00
_cell_angle_beta 90.00
_cell_angle_gamma 90.00
loop_
_atom_site_label
_atom_site_fract_x
_atom_site_fract_y
_atom_site_fract_z
La1 0.0000 0.0000 0.0000
Sc1 0.0000 0.0000 0.5000
Sc2 0.2500 0.2500 0.2500
Ta1 0.2500 0.2500 0.7500


# 15
# Mg2CoPdCl, PBEsol geometry, DFT SCAN
# V, Å³ per cell: 96
# Spin magnetization, μB/atom: 0.05
# Calculated total energy, eV per atom: -13.307
data_Mg2CoPdCl
_chemical_formula_sum 'Mg2 Co1 Pd1 Cl1'
_space_group_name_H-M_alt 'P 4/m m m'
_space_group_IT_number 123
_space_group_name_Hall '-P 4 2'
_cell_length_a 4.9288
_cell_length_b 4.9288
_cell_length_c 3.9353
_cell_angle_alpha 90.00
_cell_angle_beta 90.00
_cell_angle_gamma 90.00
loop_
_atom_site_label
_atom_site_fract_x
_atom_site_fract_y
_atom_site_fract_z
Mg1 0.0000 0.5000 0.0000
Co1 0.0000 0.0000 0.0000
Pd1 0.5000 0.5000 0.5000
Cl1 0.0000 0.0000 0.5000


# 16
# CaAlCu2, PBEsol geometry, DFT SCAN
# V, Å³ per cell: 134
# Energy of formation, eV/atom: 0.03
# Spin magnetization, μB/atom: 0.00
data_CaAlCu2
_chemical_formula_sum 'Ca2 Al2 Cu4'
_space_group_name_H-M_alt 'I m m 2'
_space_group_IT_number 44
_space_group_name_Hall 'I 2 -2'
_cell_length_a 3.0773
_cell_length_b 4.6834
_cell_length_c 9.3320
_cell_angle_alpha 90.00
_cell_angle_beta 90.00
_cell_angle_gamma 90.00
loop_
_atom_site_label
_atom_site_fract_x
_atom_site_fract_y
_atom_site_fract_z
Ca1 0.0000 0.0000 0.0000
Al1 0.0000 0.5000 0.2120
Cu1 0.0000 0.0000 0.4910
Cu2 0.0000 0.5000 0.7799


# 17
# ZrAlOs2, PBEsol geometry, DFT SCAN
# V, Å³ per cell: 62
# Energy of formation, eV/atom: -0.27
# Spin magnetization, μB/atom: 0.00
data_ZrAlOs2
_chemical_formula_sum 'Zr1 Al1 Os2'
_space_group_name_H-M_alt 'P m m 2'
_space_group_IT_number 25
_space_group_name_Hall 'P 2 -2'
_cell_length_a 2.8479
_cell_length_b 4.0525
_cell_length_c 5.3964
_cell_angle_alpha 90.00
_cell_angle_beta 90.00
_cell_angle_gamma 90.00
loop_
_atom_site_label
_atom_site_fract_x
_atom_site_fract_y
_atom_site_fract_z
Zr1 0.0000 0.0000 0.0000
Al1 0.5000 0.5000 0.2855
Os1 0.0000 0.0000 0.4969
Os2 0.5000 0.5000 0.7516


# 18
# BaLiSb, PBEsol geometry, DFT SCAN
# V, Å³ per cell: 186
# Spin magnetization, μB/atom: 0.00
# Calculated total energy, eV per atom: -27.452
data_BaLiSb
_chemical_formula_sum 'Ba2 Li2 Sb2'
_space_group_name_H-M_alt 'P 63/m m c'
_space_group_IT_number 194
_space_group_name_Hall '-P 6c 2c'
_cell_length_a 4.8883
_cell_length_b 4.8883
_cell_length_c 8.9767
_cell_angle_alpha 90.00
_cell_angle_beta 90.00
_cell_angle_gamma 120.00
loop_
_atom_site_label
_atom_site_fract_x
_atom_site_fract_y
_atom_site_fract_z
Ba1 0.0000 0.0000 0.0000
Li1 0.3333 0.6667 0.2500
Sb1 0.3333 0.6667 0.7500


# 19
# GaSbI3, PBEsol geometry, DFT SCAN
# V, Å³ per cell: 214
# Spin magnetization, μB/atom: 0.00
# Calculated total energy, eV per atom: -32.763
data_GaSbI3
_chemical_formula_sum 'Ga1 Sb1 I3'
_space_group_name_H-M_alt 'P m -3 m'
_space_group_IT_number 221
_space_group_name_Hall '-P 4 2 3'
_cell_length_a 5.9854
_cell_length_b 5.9854
_cell_length_c 5.9854
_cell_angle_alpha 90.00
_cell_angle_beta 90.00
_cell_angle_gamma 90.00
loop_
_atom_site_label
_atom_site_fract_x
_atom_site_fract_y
_atom_site_fract_z
Ga1 0.0000 0.0000 0.0000
Sb1 0.5000 0.5000 0.5000
I1 0.0000 0.5000 0.5000


# 20
# CeGe3Pd, PBEsol geometry, DFT SCAN
# V, Å³ per cell: 192
# Energy of formation, eV/atom: -0.69
# Spin magnetization, μB/atom: 0.18
data_CeGe3Pd
_chemical_formula_sum 'Ce2 Ge6 Pd2'
_space_group_name_H-M_alt 'I 4 m m'
_space_group_IT_number 107
_space_group_name_Hall 'I 4 -2'
_cell_length_a 4.4485
_cell_length_b 4.4485
_cell_length_c 9.7052
_cell_angle_alpha 90.00
_cell_angle_beta 90.00
_cell_angle_gamma 90.00
loop_
_atom_site_label
_atom_site_fract_x
_atom_site_fract_y
_atom_site_fract_z
Ce1 0.0000 0.0000 0.0000
Ge1 0.0000 0.0000 0.5934
Ge2 0.0000 0.5000 0.2383
Pd1 0.0000 0.0000 0.3457